Computed, not measured: a geometry-optimized LiZr2Cu structure at the PBEsol level of DFT.

a b c (Å): 4.3922 2.8207 11.1020
angles (deg): 90.00 90.00 90.00
Element x y z (fractional)
Li  0.0000  0.0000  0.0000
Li  0.0000  0.5000  0.5000
Zr  0.0000  0.0000  0.7271
Zr  0.0000  0.5000  0.2271
Zr  0.5000  0.0000  0.4062
Zr  0.5000  0.5000  0.9062
Cu  0.5000  0.0000  0.1291
Cu  0.5000  0.5000  0.6291

Values from the calculation:
Crystal system: orthorhombic
Energy relative to the elements (kJ/mol of atoms): 11
SG: Amm2 (38)
Excess energy over the best structure of this formula in the dataset (meV/atom): 0